No. 1
{"formula": "TbSc7", "functional": "PBE-GGA", "state": "optimized geometry", "lattice_angstrom": [[-3.844, 3.031, -4.411], [1.679, 0.018, -6.372], [-3.474, -3.548, -4.332]], "species": ["Sc", "Sc", "Sc", "Tb", "Sc", "Sc", "Sc", "Sc"], "fractional_positions": [[0.500, 0.500, 0.000], [0.000, 0.500, 0.000], [0.500, 0.000, 0.500], [0.000, 0.000, 0.000], [0.500, 0.000, 0.000], [0.000, 0.500, 0.500], [0.000, 0.000, 0.500], [0.500, 0.500, 0.500]], "spacegroup": "Fm-3m", "formation_energy_ev_per_atom": 0.0552, "density_g_cm3": 3.9, "energy_ry_per_atom": -0.446}

***

No. 2
{"formula": "MnPtI2", "functional": "PBE-GGA", "state": "optimized geometry", "lattice_angstrom": [[-5.463, 2.446, 0.216], [-0.153, -0.864, 5.925], [-0.394, 6.108, 3.908]], "species": ["I", "Pt", "Mn", "I", "Mn", "I", "I", "Pt"], "fractional_positions": [[0.375, 0.401, 0.750], [0.000, 0.000, 0.000], [0.500, 0.500, 0.000], [0.599, 0.125, 0.250], [0.250, 0.750, 0.500], [0.875, 0.849, 0.750], [0.151, 0.625, 0.250], [0.750, 0.250, 0.500]], "spacegroup": "I-42d", "density_g_cm3": 7.9, "formation_energy_uncorrected_ev_per_atom": 0.664, "energy_ry_per_atom": -0.288, "e_above_lowest_polymorph_mev_per_atom": 0}

***

No. 3
{"formula": "LiCa2In2", "functional": "PBE-GGA", "state": "optimized geometry", "lattice_angstrom": [[-0.488, 0.603, 4.704], [-5.832, -1.097, 1.952], [-1.365, -5.331, 2.957]], "species": ["In", "Li", "In", "Ca", "Ca"], "fractional_positions": [[0.500, 0.254, 0.746], [0.000, 0.000, 0.000], [0.500, 0.746, 0.254], [0.805, 0.695, 0.695], [0.195, 0.305, 0.305]], "spacegroup": "Immm", "formation_energy_ev_per_atom": -0.3483, "density_g_cm3": 3.6, "energy_ry_per_atom": -0.193, "e_above_lowest_polymorph_mev_per_atom": 0}

***

No. 4
{"formula": "Fe4Ag5", "functional": "PBE-GGA", "state": "optimized geometry", "lattice_angstrom": [[6.425, -1.166, -2.043], [-4.672, 2.675, 4.223], [-0.707, -6.288, 2.603]], "species": ["Ag", "Ag", "Fe", "Ag", "Ag", "Fe", "Fe", "Ag", "Fe"], "fractional_positions": [[0.667, 0.333, 0.000], [0.000, 0.000, 0.000], [0.000, 0.641, 0.641], [0.333, 0.333, 0.665], [0.333, 0.667, 0.000], [0.000, 0.359, 0.359], [0.641, 0.000, 0.641], [0.667, 0.667, 0.335], [0.359, 0.000, 0.359]], "spacegroup": "I4/mmm", "formation_energy_ev_per_atom": 0.2843, "density_g_cm3": 9.0, "energy_ry_per_atom": -0.372}

***

No. 5
{"formula": "PrYBeAg", "functional": "PBE-GGA", "state": "optimized geometry", "lattice_angstrom": [[-3.108, -2.809, -2.966], [1.847, -2.296, -4.203], [0.497, -5.107, -0.126]], "species": ["Ag", "Be", "Y", "Pr"], "fractional_positions": [[0.000, 0.000, 0.000], [0.500, 0.500, 0.500], [0.750, 0.750, 0.750], [0.250, 0.250, 0.250]], "spacegroup": "F-43m", "formation_energy_ev_per_atom": -0.0139, "density_g_cm3": 6.0, "energy_ry_per_atom": -0.328}

***

No. 6
{"formula": "Au5Se", "functional": "PBE-GGA", "state": "optimized geometry", "lattice_angstrom": [[-1.517, -0.823, -2.325], [0.474, -2.776, 0.673], [-11.222, -0.127, 7.368]], "species": ["Au", "Au", "Au", "Au", "Au", "Se"], "fractional_positions": [[0.000, 0.000, 0.820], [0.000, 0.000, 0.500], [0.500, 0.500, 0.660], [0.000, 0.000, 0.180], [0.500, 0.500, 0.340], [0.500, 0.500, 0.000]], "spacegroup": "P4/mmm", "density_g_cm3": 15.7, "formation_energy_uncorrected_ev_per_atom": 0.132, "energy_ry_per_atom": -0.234}